Record 1
A geometry-optimized CuAg4 structure. Source: OQMD via LeMat-Bulk, functional PBE.

The structure in CIF format:
```
data_CuAg4
_cell_length_a 9.596
_cell_length_b 2.909
_cell_length_c 12.293
_cell_angle_alpha 90.00
_cell_angle_beta 100.87
_cell_angle_gamma 90.00
_space_group_name_H-M_alt 'C 1 2/m 1'
_space_group_IT_number 12
loop_
_space_group_symop_operation_xyz
'x,y,z'
'-x,-y,-z'
'-x,y,-z'
'x,-y,z'
'x+1/2,y+1/2,z'
'-x+1/2,-y+1/2,-z'
'-x+1/2,y+1/2,-z'
'x+1/2,-y+1/2,z'
loop_
_atom_site_label
_atom_site_type_symbol
_atom_site_fract_x
_atom_site_fract_y
_atom_site_fract_z
Cu1 Cu 0.048 0.000 0.353
Ag1 Ag 0.051 0.500 0.839
Ag2 Ag 0.145 0.500 0.544
Ag3 Ag 0.149 0.000 0.051
Ag4 Ag 0.244 0.500 0.260
```

Values from the calculation:
**DFT total energy**: -2.95 eV per atom
**Energy above the lowest structure with this stoichiometry**: 0.67 kcal/mol of atoms

=====

Record 2
A geometry-optimized CsCuTcIr structure. Source: OQMD via LeMat-Bulk, functional PBE.

The structure in CIF format:
```
data_CsCuTcIr
_cell_length_a 6.865
_cell_length_b 6.865
_cell_length_c 6.865
_cell_angle_alpha 90.00
_cell_angle_beta 90.00
_cell_angle_gamma 90.00
_space_group_name_H-M_alt 'F -4 3 m'
_space_group_IT_number 216
_space_group_name_Hall 'F -4 2 3'
loop_
_atom_site_label
_atom_site_type_symbol
_atom_site_fract_x
_atom_site_fract_y
_atom_site_fract_z
Cs1 Cs 0.000 0.000 0.000
Cu1 Cu 0.250 0.250 0.250
Tc1 Tc 0.000 0.000 0.500
Ir1 Ir 0.250 0.250 0.750
```

Values from the calculation:
**DFT total energy**: -4.36 eV per atom
**Energy above the lowest structure with this stoichiometry**: 1.99 kcal/mol of atoms

=====

Record 3
A geometry-optimized GdHo3Te2C2 structure. Source: OQMD via LeMat-Bulk, functional PBE.

The structure in CIF format:
```
data_GdHo3Te2C2
_cell_length_a 3.8294
_cell_length_b 3.8294
_cell_length_c 14.0267
_cell_angle_alpha 90.00
_cell_angle_beta 90.00
_cell_angle_gamma 120.00
_space_group_name_H-M_alt 'P 3 m 1'
_space_group_IT_number 156
loop_
_space_group_symop_operation_xyz
'x,y,z'
'-y,x-y,z'
'-x+y,-x,z'
'-y,-x,z'
'-x+y,y,z'
'x,x-y,z'
loop_
_atom_site_label
_atom_site_type_symbol
_atom_site_fract_x
_atom_site_fract_y
_atom_site_fract_z
Gd1 Gd 0.0000 0.0000 0.0000
Ho1 Ho 0.0000 0.0000 0.3150
Ho2 Ho 0.3333 0.6667 0.5000
Ho3 Ho 0.3333 0.6667 0.8118
Te1 Te 0.0000 0.0000 0.6559
Te2 Te 0.3333 0.6667 0.1597
C1 C 0.6667 0.3333 0.4076
C2 C 0.6667 0.3333 0.9044
```

Values from the calculation:
**DFT total energy**: -6.26 eV per atom

=====

Record 4
A geometry-optimized Nb3SI4Cl3 structure. Source: OQMD via LeMat-Bulk, functional PBE.

The structure in CIF format:
```
data_Nb3SI4Cl3
_cell_length_a 7.4269
_cell_length_b 7.4269
_cell_length_c 6.7357
_cell_angle_alpha 90.00
_cell_angle_beta 90.00
_cell_angle_gamma 120.00
_space_group_name_H-M_alt 'P 3 m 1'
_space_group_IT_number 156
loop_
_space_group_symop_operation_xyz
'x,y,z'
'-y,x-y,z'
'-x+y,-x,z'
'-y,-x,z'
'-x+y,y,z'
'x,x-y,z'
loop_
_atom_site_label
_atom_site_type_symbol
_atom_site_fract_x
_atom_site_fract_y
_atom_site_fract_z
Nb1 Nb 0.2039 0.4077 0.0000
S1 S 0.3333 0.6667 0.2597
I1 I 0.0000 0.0000 0.7721
I2 I 0.3395 0.1697 0.2332
Cl1 Cl 0.0192 0.5096 0.7661
```

Values from the calculation:
**DFT total energy**: -5.11 eV per atom